*P*
Material: ZrPtBr2
Method: DFT, meta-GGA SCAN
State: PBEsol geometry

Results
Calculated volume   75.4 Å³/cell
Density of states at the Fermi level   3.01 states/eV per cell
SG   Fm-3m, No. 225

POSCAR file:
```
ZrPtBr2
1.0
-0.305 4.679 -0.706
-3.367 1.755 -2.841
-3.621 2.445 1.844
Zr Br Pt
1 2 1
Direct
0.500 0.500 0.500
0.750 0.750 0.750
0.250 0.250 0.250
0.000 0.000 0.000
```

=====

*Q*
Material: ZrPtBr2
Method: DFT, meta-GGA SCAN
State: PBEsol geometry

Results
Calculated volume   101.1 Å³/cell
Density of states at the Fermi level   0.00 states/eV per cell
SG   R3m, No. 160

POSCAR file:
```
ZrPtBr2
1.0
-3.404 0.891 -1.324
-2.201 -2.668 -1.473
-5.139 -2.009 6.520
Br Pt Zr
2 1 1
Direct
0.978 0.978 0.067
0.775 0.775 0.675
0.512 0.512 0.464
0.235 0.235 0.294
```

=====

Least stable structure: *P*

=====

*P*
Material: Zr2PtBr
Method: DFT, meta-GGA SCAN
State: PBEsol geometry

Results
Calculated volume   79.8 Å³/cell
Density of states at the Fermi level   1.75 states/eV per cell
SG   Pmm2, No. 25

POSCAR file:
```
Zr2PtBr
1.0
-1.173 -0.616 -3.038
1.805 -4.003 0.115
-4.603 -2.013 2.186
Zr Pt Br
2 1 1
Direct
0.370 0.000 0.500
0.883 0.500 0.000
0.868 0.500 0.500
0.379 0.000 0.000
```

=====

*Q*
Material: Zr2PtBr
Method: DFT, meta-GGA SCAN
State: PBEsol geometry

Results
Calculated volume   77.9 Å³/cell
Density of states at the Fermi level   3.37 states/eV per cell
SG   I-4m2, No. 119

POSCAR file:
```
Zr2PtBr
1.0
-3.849 0.237 0.316
-0.336 -0.345 -3.839
1.814 -5.119 2.250
Br Pt Zr
1 1 2
Direct
0.500 0.500 0.000
0.250 0.750 0.500
0.000 0.000 0.000
0.750 0.250 0.500
```

=====

Least stable structure: *Q*

=====

*P*
Material: SrRe2Br
Method: DFT, meta-GGA SCAN
State: PBEsol geometry

Results
Calculated volume   79.4 Å³/cell
Density of states at the Fermi level   3.07 states/eV per cell
SG   Cmmm, No. 65

POSCAR file:
```
SrRe2Br
1.0
2.798 0.000 0.000
0.000 5.294 0.000
0.000 -2.647 5.361
Br Re Sr
1 2 1
Direct
0.500 0.500 0.000
0.000 0.500 0.500
0.000 0.000 0.500
0.500 0.000 0.000
```

=====

*Q*
Material: SrRe2Br
Method: DFT, meta-GGA SCAN
State: PBEsol geometry

Results
Calculated volume   73.4 Å³/cell
Density of states at the Fermi level   4.17 states/eV per cell
SG   R-3m, No. 166

POSCAR file:
```
SrRe2Br
1.0
-1.820 -2.263 -0.538
0.474 -1.755 -2.327
5.114 -7.117 4.536
Re Sr Br
2 1 1
Direct
0.740 0.740 0.779
0.260 0.260 0.221
0.500 0.500 0.500
0.000 0.000 0.000
```

=====

*R*
Material: SrRe2Br
Method: DFT, meta-GGA SCAN
State: PBEsol geometry

Results
Calculated volume   83.0 Å³/cell
Density of states at the Fermi level   1.87 states/eV per cell
SG   P4mm, No. 99

POSCAR file:
```
SrRe2Br
1.0
3.181 0.000 0.000
0.000 3.181 0.000
0.000 0.000 8.199
Re Br Sr
2 1 1
Direct
0.500 0.500 0.202
0.000 0.000 0.054
0.500 0.500 0.751
0.000 0.000 0.493
```

=====

Least stable structure: *Q*

=====

*P*
Material: TaReBr2
Method: DFT, meta-GGA SCAN
State: PBEsol geometry

Results
Calculated volume   70.7 Å³/cell
Density of states at the Fermi level   2.11 states/eV per cell
SG   I-4m2, No. 119

POSCAR file:
```
TaReBr2
1.0
4.242 0.000 0.000
-2.121 4.464 -0.038
0.000 2.047 3.716
Br Re Ta
2 1 1
Direct
0.250 0.500 0.250
0.000 0.000 0.000
0.500 0.000 0.500
0.750 0.500 0.750
```

=====

*Q*
Material: TaReBr2
Method: DFT, meta-GGA SCAN
State: PBEsol geometry

Results
Calculated volume   91.4 Å³/cell
Density of states at the Fermi level   1.93 states/eV per cell
SG   Pm, No. 6

POSCAR file:
```
TaReBr2
1.0
3.109 0.000 0.000
0.000 4.547 0.117
0.000 -2.054 6.410
Re Br Ta
1 2 1
Direct
0.000 0.602 0.606
0.500 0.700 0.321
0.000 0.035 0.931
0.500 0.163 0.641
```

=====

*R*
Material: TaReBr2
Method: DFT, meta-GGA SCAN
State: PBEsol geometry

Results
Calculated volume   93.4 Å³/cell
Density of states at the Fermi level   2.09 states/eV per cell
SG   Immm, No. 71

POSCAR file:
```
TaReBr2
1.0
-2.338 -0.959 -1.957
2.861 -1.745 -2.562
-0.754 -4.601 5.765
Br Re Ta
2 1 1
Direct
0.656 0.656 0.313
0.344 0.344 0.687
0.500 0.000 0.000
0.000 0.500 0.000
```

=====

Least stable structure: *P*

=====

*P*
Material: TaRe2Br
Method: DFT, meta-GGA SCAN
State: PBEsol geometry

Results
Calculated volume   64.9 Å³/cell
Density of states at the Fermi level   3.96 states/eV per cell
SG   P2/m, No. 10

POSCAR file:
```
TaRe2Br
1.0
-2.615 -1.136 0.105
0.309 -0.277 4.686
-1.725 4.506 0.380
Re Ta Br
2 1 1
Direct
0.186 0.000 0.243
0.814 0.000 0.757
0.500 0.500 0.000
0.000 0.500 0.500
```

=====

*Q*
Material: TaRe2Br
Method: DFT, meta-GGA SCAN
State: PBEsol geometry

Results
Calculated volume   63.2 Å³/cell
Density of states at the Fermi level   3.17 states/eV per cell
SG   Pmmm, No. 47

POSCAR file:
```
TaRe2Br
1.0
-0.859 -0.985 -2.624
-1.738 -3.813 1.999
-4.083 2.140 0.533
Br Re Ta
1 2 1
Direct
0.000 0.500 0.500
0.000 0.000 0.000
0.500 0.000 0.500
0.500 0.500 0.000
```

=====

Least stable structure: *Q*

=====

*P*
Material: Re2TeBr
Method: DFT, meta-GGA SCAN
State: PBEsol geometry

Results
Calculated volume   66.5 Å³/cell
Density of states at the Fermi level   2.70 states/eV per cell
SG   Fm-3m, No. 225

POSCAR file:
```
Re2TeBr
1.0
4.548 0.000 0.000
2.274 3.939 0.000
2.274 1.313 3.713
Re Br Te
2 1 1
Direct
0.750 0.750 0.750
0.250 0.250 0.250
0.000 0.000 0.000
0.500 0.500 0.500
```

=====

*Q*
Material: Re2TeBr
Method: DFT, meta-GGA SCAN
State: PBEsol geometry

Results
Calculated volume   72.4 Å³/cell
Density of states at the Fermi level   3.50 states/eV per cell
SG   Cmmm, No. 65

POSCAR file:
```
Re2TeBr
1.0
-2.980 0.537 -0.372
0.910 -2.365 1.802
0.092 5.332 6.949
Br Re Te
1 2 1
Direct
0.500 0.000 0.000
0.000 0.000 0.742
0.000 0.000 0.258
0.500 0.000 0.500
```

=====

*R*
Material: Re2TeBr
Method: DFT, meta-GGA SCAN
State: PBEsol geometry

Results
Calculated volume   70.7 Å³/cell
Density of states at the Fermi level   3.86 states/eV per cell
SG   Pmmm, No. 47

POSCAR file:
```
Re2TeBr
1.0
2.975 0.000 0.000
0.000 4.617 0.000
0.000 0.000 5.148
Te Re Br
1 2 1
Direct
0.500 0.500 0.000
0.000 0.000 0.000
0.500 0.000 0.500
0.000 0.500 0.500
```

=====

Least stable structure: *R*

=====

*P*
Material: ReW2Br
Method: DFT, meta-GGA SCAN
State: PBEsol geometry

Results
Calculated volume   62.8 Å³/cell
Density of states at the Fermi level   2.36 states/eV per cell
SG   Pmmm, No. 47

POSCAR file:
```
ReW2Br
1.0
-0.222 2.435 -1.731
-0.717 -2.653 -3.640
-4.524 0.145 0.785
Br Re W
1 1 2
Direct
0.500 0.000 0.500
0.000 0.500 0.500
0.000 0.000 0.000
0.500 0.500 0.000
```

=====

*Q*
Material: ReW2Br
Method: DFT, meta-GGA SCAN
State: PBEsol geometry

Results
Calculated volume   63.8 Å³/cell
Density of states at the Fermi level   3.53 states/eV per cell
SG   F-43m, No. 216

POSCAR file:
```
ReW2Br
1.0
-4.362 -0.840 0.611
-2.481 -1.556 -3.396
-1.481 -4.232 0.061
W Re Br
2 1 1
Direct
0.750 0.750 0.750
0.000 0.000 0.000
0.250 0.250 0.250
0.500 0.500 0.500
```

=====

*R*
Material: ReW2Br
Method: DFT, meta-GGA SCAN
State: PBEsol geometry

Results
Calculated volume   63.9 Å³/cell
Density of states at the Fermi level   1.44 states/eV per cell
SG   P4mm, No. 99

POSCAR file:
```
ReW2Br
1.0
-0.567 2.387 -1.775
1.517 -1.322 -2.263
-5.883 -3.019 -2.181
W Re Br
2 1 1
Direct
0.500 0.500 0.245
0.000 0.000 0.991
0.500 0.500 0.773
0.000 0.000 0.491
```

=====

Least stable structure: *Q*

=====

*P*
Material: YReBr2
Method: DFT, meta-GGA SCAN
State: PBEsol geometry

Results
Calculated volume   84.4 Å³/cell
Density of states at the Fermi level   1.62 states/eV per cell
SG   P2/m, No. 10

POSCAR file:
```
YReBr2
1.0
-0.302 1.183 3.643
-2.788 -3.201 0.809
3.892 -3.142 0.979
Br Y Re
2 1 1
Direct
0.713 0.000 0.779
0.287 0.000 0.221
0.000 0.500 0.500
0.500 0.500 0.000
```

=====

*Q*
Material: YReBr2
Method: DFT, meta-GGA SCAN
State: PBEsol geometry

Results
Calculated volume   105.7 Å³/cell
Density of states at the Fermi level   1.79 states/eV per cell
SG   C2/m, No. 12

POSCAR file:
```
YReBr2
1.0
3.377 0.000 0.000
0.000 4.623 0.017
-1.688 -0.093 6.769
Y Br Re
1 2 1
Direct
0.000 0.500 0.000
0.342 0.262 0.683
0.658 0.738 0.317
0.500 0.000 0.000
```

=====

Least stable structure: *P*